Pm3SmCo8 | GGA-PBE | optimized geometry

Crystal system: trigonal
Formation energy from the elements in eV/f.u.: -0.9
Calculated volume in Å³ per cell: 192.8

Lattice parameters (Å, degrees): 5.148 5.148 8.912 73.21 73.21 60.00
Last column: magnetic moment on the atom in μB.
Element x y z (fractional)
Co: 0.937 0.937 0.687  1.12
Co: 0.437 0.437 0.188  1.13
Co: 0.438 0.937 0.687  1.12
Co: 0.687 0.687 0.938  1.13
Co: 0.188 0.188 0.437  1.14
Co: 0.937 0.437 0.188  1.13
Co: 0.437 0.937 0.188  1.13
Sm: 0.875 0.875 0.375  -0.22
Pm: 0.000 0.000 0.000  -0.23
Co: 0.937 0.438 0.687  1.12
Pm: 0.375 0.375 0.875  -0.23
Pm: 0.500 0.500 0.500  -0.23



MgSb2TeO | GGA-PBE | optimized geometry

Crystal system: tetragonal
Distance to the lowest polymorph of the same formula in meV per atom: 0
Calculated volume in Å³ per cell: 115.0

Lattice parameters (Å, degrees): 4.647 4.647 5.324 90.00 90.00 90.00
Element x y z (fractional)
Sb: 0.000 0.500 0.000
Sb: 0.500 0.000 0.000
Te: 0.000 0.000 0.500
Mg: 0.500 0.500 0.500
O: 0.000 0.000 0.000



K4TcSb | GGA-PBE | optimized geometry

Crystal system: cubic
DFT total energy in eV per atom: -2.21
Calculated volume in Å³ per cell: 227.5

Lattice parameters (Å, degrees): 6.852 6.852 6.852 60.00 60.00 60.00
Last column: magnetic moment on the atom in μB.
Element x y z (fractional)
K: 0.376 0.376 0.376  -0.01
K: 0.376 0.376 0.872  -0.01
K: 0.376 0.872 0.376  -0.01
Tc: 0.000 0.000 0.000  3.35
Sb: 0.750 0.750 0.750  0.10
K: 0.872 0.376 0.376  -0.01



LiPr2SiO5 | GGA-PBE | optimized geometry

Crystal system: tetragonal
DFT total energy in eV per atom: -7.12
Calculated volume in Å³ per cell: 257.3

Lattice parameters (Å, degrees): 5.401 6.902 6.902 90.00 90.00 90.00
Element x y z (fractional)
O: 0.227 0.877 0.377
Pr: 0.500 0.680 0.180
O: 0.773 0.877 0.377
O: 0.773 0.123 0.623
Pr: 0.500 0.320 0.820
Li: 0.000 0.500 0.500
Si: 0.000 0.500 0.000
Si: 0.000 0.000 0.500
O: 0.500 0.000 0.000
Pr: 0.500 0.820 0.680
Pr: 0.500 0.180 0.320
O: 0.773 0.623 0.877
O: 0.227 0.623 0.877
O: 0.227 0.123 0.623
O: 0.773 0.377 0.123
O: 0.227 0.377 0.123
O: 0.500 0.500 0.500
Li: 0.000 0.000 0.000



Tl2SnHg | GGA-PBE | optimized geometry

Crystal system: trigonal
Distance to the lowest polymorph of the same formula in meV per atom: 7
Formation energy from the elements in eV/f.u.: 0.1
Calculated volume in Å³ per cell: 117.9

Lattice parameters (Å, degrees): 3.490 3.490 11.355 81.16 81.16 60.00
Element x y z (fractional)
Tl: 0.249 0.249 0.253
Hg: 0.666 0.666 0.002
Tl: 0.085 0.085 0.746
Sn: 0.500 0.500 0.499



SiPb2Br | GGA-PBE | optimized geometry

Crystal system: tetragonal
Distance to the lowest polymorph of the same formula in meV per atom: 274
Calculated volume in Å³ per cell: 265.4

Lattice parameters (Å, degrees): 7.867 7.867 7.024 55.94 55.94 90.00
Element x y z (fractional)
Br: 0.750 0.250 0.500
Si: 0.500 0.500 0.000
Pb: 0.580 0.125 0.250
Br: 0.000 0.000 0.000
Si: 0.250 0.750 0.500
Pb: 0.875 0.830 0.750
Pb: 0.170 0.625 0.250
Pb: 0.375 0.420 0.750



TaBe2Al | GGA-PBE | optimized geometry

Crystal system: tetragonal
Formation energy from the elements in eV/f.u.: 0.3
Calculated volume in Å³ per cell: 52.3

Lattice parameters (Å, degrees): 4.919 4.919 4.919 138.20 138.20 60.60
Element x y z (fractional)
Be: 0.000 0.000 0.000
Ta: 0.500 0.500 0.000
Be: 0.250 0.750 0.500
Al: 0.750 0.250 0.500



Ta2TeC | GGA-PBE | optimized geometry

Crystal system: cubic
DFT total energy in eV per atom: -8.11
Calculated volume in Å³ per cell: 63.8

Lattice parameters (Å, degrees): 4.486 4.486 4.486 60.00 60.00 60.00
Element x y z (fractional)
Te: 0.500 0.500 0.500
Ta: 0.750 0.750 0.750
C: 0.000 0.000 0.000
Ta: 0.250 0.250 0.250



KSnBr2F | GGA-PBE | optimized geometry

Crystal system: monoclinic
Distance to the lowest polymorph of the same formula in meV per atom: 0
Calculated volume in Å³ per cell: 301.5

Lattice parameters (Å, degrees): 4.318 9.180 8.034 108.79 90.00 90.00
Element x y z (fractional)
K: 0.250 0.595 0.329
F: 0.750 0.407 0.319
K: 0.750 0.405 0.671
F: 0.250 0.593 0.681
Br: 0.750 0.710 0.047
Br: 0.750 0.859 0.617
Br: 0.250 0.290 0.953
Br: 0.250 0.141 0.383
Sn: 0.750 0.179 0.148
Sn: 0.250 0.821 0.852



SbAuSeN2 | GGA-PBE | optimized geometry

Crystal system: tetragonal
Distance to the lowest polymorph of the same formula in meV per atom: 321
Calculated volume in Å³ per cell: 93.4

Lattice parameters (Å, degrees): 4.148 4.148 5.427 90.00 90.00 90.00
Last column: magnetic moment on the atom in μB.
Element x y z (fractional)
Au: 0.000 0.000 0.000  0.21
N: 0.000 0.500 0.000  0.80
Sb: 0.500 0.500 0.500  -0.18
Se: 0.000 0.000 0.500  0.07
N: 0.500 0.000 0.000  0.80



LaNdGe2 | GGA-PBE | optimized geometry

Crystal system: tetragonal
Distance to the lowest polymorph of the same formula in meV per atom: 176
Formation energy from the elements in eV/f.u.: -2.7
Calculated volume in Å³ per cell: 102.4

Lattice parameters (Å, degrees): 3.961 3.961 6.524 90.00 90.00 90.00
Element x y z (fractional)
Nd: 0.500 0.500 0.000
Ge: 0.000 0.000 0.212
La: 0.500 0.500 0.500
Ge: 0.000 0.000 0.788



La2TmSi3Ir4 | GGA-PBE | optimized geometry

Crystal system: tetragonal
DFT total energy in eV per atom: -7.58
Calculated volume in Å³ per cell: 191.4

Lattice parameters (Å, degrees): 4.183 4.183 10.939 90.00 90.00 90.00
Element x y z (fractional)
Si: 0.000 0.000 0.500
Ir: 0.000 0.500 0.340
La: 0.000 0.500 0.764
Si: 0.000 0.500 0.117
Si: 0.500 0.000 0.883
Ir: 0.500 0.000 0.660
La: 0.500 0.000 0.236
Tm: 0.500 0.500 0.500
Ir: 0.500 0.500 0.000
Ir: 0.000 0.000 0.000



BaSrZr2F | GGA-PBE | optimized geometry

Crystal system: tetragonal
DFT total energy in eV per atom: -4.79
Calculated volume in Å³ per cell: 134.1

Lattice parameters (Å, degrees): 4.872 5.650 4.872 90.00 90.00 90.00
Element x y z (fractional)
F: 0.000 0.000 0.000
Sr: 0.000 0.500 0.000
Ba: 0.500 0.500 0.500
Zr: 0.000 0.000 0.500
Zr: 0.500 0.000 0.000



SrLi4Sn8 | GGA-PBE | optimized geometry

Crystal system: tetragonal
Formation energy from the elements in eV/f.u.: -3.8
Calculated volume in Å³ per cell: 316.9

Lattice parameters (Å, degrees): 6.124 7.818 7.818 81.18 66.94 66.94
Element x y z (fractional)
Sn: 0.721 0.779 0.779
Li: 0.500 0.000 0.500
Sn: 0.500 0.221 0.779
Sn: 0.656 0.344 0.344
Li: 0.000 0.000 0.500
Sn: 0.279 0.221 0.221
Sn: 0.000 0.344 0.656
Sn: 0.500 0.779 0.221
Sn: 0.000 0.656 0.344
Li: 0.000 0.500 0.000
Sr: 0.000 0.000 0.000
Li: 0.500 0.500 0.000
Sn: 0.344 0.656 0.656



Ca2VOs | GGA-PBE | optimized geometry

Crystal system: tetragonal
Distance to the lowest polymorph of the same formula in meV per atom: 0
Formation energy from the elements in eV/f.u.: 2.9
Calculated volume in Å³ per cell: 260.4

Lattice parameters (Å, degrees): 10.591 10.591 7.841 47.51 47.51 90.00
Last column: magnetic moment on the atom in μB.
Element x y z (fractional)
Ca: 0.963 0.625 0.250  0.03
V: 0.250 0.750 0.500  1.92
Ca: 0.375 0.213 0.750  0.03
Ca: 0.875 0.037 0.750  0.03
Os: 0.000 0.000 0.000  -0.28
Os: 0.750 0.250 0.500  -0.28
Ca: 0.787 0.125 0.250  0.03
V: 0.500 0.500 0.000  1.92



CaCrW2 | GGA-PBE | optimized geometry

Crystal system: orthorhombic
Distance to the lowest polymorph of the same formula in meV per atom: 0
Formation energy from the elements in eV/f.u.: 2.5
Calculated volume in Å³ per cell: 68.2

Lattice parameters (Å, degrees): 2.774 2.774 9.405 90.00 90.00 109.39
Element x y z (fractional)
W: 0.000 0.000 0.961
W: 0.000 0.000 0.539
Ca: 0.500 0.500 0.250
Cr: 0.500 0.500 0.750



SrIr2Pb | GGA-PBE | optimized geometry

Crystal system: monoclinic
Formation energy from the elements in eV/f.u.: 0.7
Calculated volume in Å³ per cell: 101.5

Lattice parameters (Å, degrees): 4.022 3.719 6.831 83.54 90.00 90.00
Element x y z (fractional)
Ir: 0.000 0.932 0.123
Ir: 0.500 0.314 0.155
Pb: 0.000 0.413 0.436
Sr: 0.500 0.841 0.785



TlCu2Ag | GGA-PBE | optimized geometry

Crystal system: monoclinic
Distance to the lowest polymorph of the same formula in meV per atom: 36
Formation energy from the elements in eV/f.u.: 0.9
Calculated volume in Å³ per cell: 68.4

Lattice parameters (Å, degrees): 4.347 3.001 5.432 74.85 90.00 90.00
Element x y z (fractional)
Cu: 0.500 0.068 0.242
Ag: 0.500 0.779 0.808
Tl: 0.000 0.458 0.462
Cu: 0.000 0.196 0.988



MoSICl2 | GGA-PBE | optimized geometry

Crystal system: tetragonal
Distance to the lowest polymorph of the same formula in meV per atom: 0
Calculated volume in Å³ per cell: 113.2

Lattice parameters (Å, degrees): 4.873 4.873 4.767 90.00 90.00 90.00
Last column: magnetic moment on the atom in μB.
Element x y z (fractional)
Cl: 0.000 0.500 0.000  0.01
I: 0.500 0.500 0.500  -0.11
Cl: 0.500 0.000 0.000  0.01
Mo: 0.000 0.000 0.000  0.47
S: 0.000 0.000 0.500  -0.04



YTh2Tl9 | GGA-PBE | optimized geometry

Crystal system: tetragonal
Formation energy from the elements in eV/f.u.: -2.2
Calculated volume in Å³ per cell: 333.1

Lattice parameters (Å, degrees): 4.814 4.814 14.375 90.00 90.00 90.00
Element x y z (fractional)
Tl: 0.000 0.500 0.163
Th: 0.000 0.000 0.332
Tl: 0.000 0.500 0.500
Tl: 0.500 0.500 0.000
Tl: 0.000 0.500 0.837
Tl: 0.500 0.500 0.332
Th: 0.000 0.000 0.668
Y: 0.000 0.000 0.000
Tl: 0.500 0.000 0.500
Tl: 0.500 0.000 0.837
Tl: 0.500 0.500 0.668
Tl: 0.500 0.000 0.163